[1]
Crystalline MnCl5 at its relaxed geometry. Source: Alexandria via LeMat-Bulk, functional PBE.

Calculated values
- energy relative to the elements, uncorrected (eV/atom) = 0.12
- energy above the lowest structure with this stoichiometry (eV/atom) = 0.6890

Unit cell a=5.0372 b=5.0372 c=8.0682 alpha=90.00 beta=90.00 gamma=120.00
Last column: nearest neighbours and their distance in Å.
Element x y z (fractional)
Mn: 0.0000 0.0000 0.0000  6 Cl 2.91
Cl: 0.0000 0.5000 0.5000  4 Cl 2.52
Cl: 0.3333 0.6667 0.0000  3 Mn 2.91, 3 Cl 2.91
Cl: 0.5000 0.0000 0.5000  4 Cl 2.52
Cl: 0.5000 0.5000 0.5000  4 Cl 2.52
Cl: 0.6667 0.3333 0.0000  3 Mn 2.91, 3 Cl 2.91

---

[2]
Crystalline AlIrI3 at its relaxed geometry. Source: Alexandria via LeMat-Bulk, functional PBE.

Calculated values
- energy relative to the elements, uncorrected (eV/atom) = 0.37
- energy above the lowest structure with this stoichiometry (eV/atom) = 0.0000

Unit cell a=5.4564 b=5.4564 c=5.4564 alpha=90.00 beta=90.00 gamma=90.00
Last column: nearest neighbours and their distance in Å.
Element x y z (fractional)
Al: 0.0000 0.0000 0.0000  12 I 3.86
Ir: 0.5000 0.5000 0.5000  6 I 2.73
I: 0.0000 0.5000 0.5000  2 Ir 2.73
I: 0.5000 0.0000 0.5000  2 Ir 2.73
I: 0.5000 0.5000 0.0000  2 Ir 2.73

---

[3]
Crystalline Be4NiPt3 at its relaxed geometry. Source: Alexandria via LeMat-Bulk, functional PBE.

Calculated values
- energy relative to the elements (eV per atom) = -0.687

Unit cell a=2.8051 b=3.9480 c=7.9143 alpha=90.00 beta=90.00 gamma=90.00
Last column: nearest neighbours and their distance in Å.
Element x y z (fractional)
Be: 0.0000 0.0000 0.0000  4 Pt 2.37, 4 Ni 2.42
Be: 0.0000 0.0000 0.5000  8 Pt 2.42-2.48
Be: 0.0000 0.5000 0.2369  2 Ni 2.34, 6 Pt 2.42-2.51
Be: 0.0000 0.5000 0.7631  2 Ni 2.34, 6 Pt 2.42-2.51
Ni: 0.5000 0.5000 0.0000  8 Be 2.34-2.42
Pt: 0.5000 0.0000 0.2412  8 Be 2.37-2.48
Pt: 0.5000 0.0000 0.7588  8 Be 2.37-2.48
Pt: 0.5000 0.5000 0.5000  8 Be 2.42-2.51

---

[4]
Crystalline LaErHfN3 at its relaxed geometry. Source: Alexandria via LeMat-Bulk, functional PBE.

Calculated values
- energy relative to the elements, uncorrected (eV/atom) = -1.33

Unit cell a=6.6560 b=3.3997 c=9.7217 alpha=90.00 beta=94.00 gamma=90.00
Last column: nearest neighbours and their distance in Å.
Element x y z (fractional)
La: 0.1760 0.2500 0.2210  4 N 2.45-2.71
La: 0.8240 0.7500 0.7790  4 N 2.45-2.71
Er: 0.3546 0.7500 0.8818  5 N 2.24-2.46
Er: 0.6454 0.2500 0.1182  5 N 2.24-2.46
Hf: 0.1724 0.2500 0.5795  4 N 2.08-2.15
Hf: 0.8276 0.7500 0.4205  4 N 2.08-2.15
N: 0.1417 0.2500 0.7905  1 Hf 2.08
N: 0.1500 0.7500 0.4518  3 Hf 2.10-2.15
N: 0.3777 0.7500 0.1128  3 Er 2.24-2.46, 2 La 2.45
N: 0.6223 0.2500 0.8872  3 Er 2.24-2.46, 2 La 2.45
N: 0.8500 0.2500 0.5482  3 Hf 2.10-2.15
N: 0.8583 0.7500 0.2095  1 Hf 2.08

---

[5]
Crystalline BaIrOs at its relaxed geometry. Source: Alexandria via LeMat-Bulk, functional PBE.

Calculated values
- energy relative to the elements (eV per atom) = 1.344
- energy above the lowest structure with this stoichiometry (eV/atom) = 1.1811

Unit cell a=4.6900 b=4.6900 c=4.6900 alpha=60.00 beta=60.00 gamma=60.00
Last column: nearest neighbours and their distance in Å.
Element x y z (fractional)
Ba: 0.0000 0.0000 0.0000  4 Os 2.87
Ir: 0.5000 0.5000 0.5000  4 Os 2.87
Os: 0.2500 0.2500 0.2500  4 Ir 2.87, 4 Ba 2.87

---

[6]
Crystalline TiP at its relaxed geometry. Source: Alexandria via LeMat-Bulk, functional PBE.

Calculated values
- energy relative to the elements (eV per atom) = -0.564

Unit cell a=3.6828 b=11.9211 c=5.5860 alpha=90.00 beta=90.00 gamma=90.00
Last column: nearest neighbours and their distance in Å.
Element x y z (fractional)
Ti: 0.2500 0.1114 0.0183  4 P 2.39-2.41
Ti: 0.2500 0.3886 0.0183  4 P 2.39-2.41
Ti: 0.2500 0.7500 0.3768  4 P 2.39-2.45
Ti: 0.7500 0.2500 0.6232  4 P 2.39-2.45
Ti: 0.7500 0.6114 0.9817  4 P 2.39-2.41
Ti: 0.7500 0.8886 0.9817  4 P 2.39-2.41
P: 0.2500 0.2500 0.3334  4 Ti 2.41-2.45
P: 0.2500 0.5606 0.2391  4 Ti 2.39-2.41
P: 0.2500 0.9394 0.2391  4 Ti 2.39-2.41
P: 0.7500 0.0606 0.7609  4 Ti 2.39-2.41
P: 0.7500 0.4394 0.7609  4 Ti 2.39-2.41
P: 0.7500 0.7500 0.6666  4 Ti 2.41-2.45

---

What did the first record say?
Crystalline MnCl5 at its relaxed geometry. Source: Alexandria via LeMat-Bulk, functional PBE.

Calculated values
- energy relative to the elements, uncorrected (eV/atom) = 0.12
- energy above the lowest structure with this stoichiometry (eV/atom) = 0.6890

Unit cell a=5.0372 b=5.0372 c=8.0682 alpha=90.00 beta=90.00 gamma=120.00
Last column: nearest neighbours and their distance in Å.
Element x y z (fractional)
Mn: 0.0000 0.0000 0.0000  6 Cl 2.91
Cl: 0.0000 0.5000 0.5000  4 Cl 2.52
Cl: 0.3333 0.6667 0.0000  3 Mn 2.91, 3 Cl 2.91
Cl: 0.5000 0.0000 0.5000  4 Cl 2.52
Cl: 0.5000 0.5000 0.5000  4 Cl 2.52
Cl: 0.6667 0.3333 0.0000  3 Mn 2.91, 3 Cl 2.91